(1)
Computed, not measured: a geometry-optimized Sr2AsP3Pd4 structure at the PBE level of DFT.

```
Sr2AsP3Pd4
1.0
-0.0003 -3.8663 -2.0180
4.2653 0.4208 -0.8068
2.0688 -4.4875 8.5971
Pd P Sr As
4 3 2 1
Direct
0.5000 0.0000 0.6278
0.0000 0.5000 0.3722
0.0000 0.0000 0.0000
0.5000 0.5000 0.0000
0.5000 0.0000 0.8714
0.0000 0.5000 0.1286
0.0000 0.0000 0.5000
0.5000 0.0000 0.2493
0.0000 0.5000 0.7507
0.5000 0.5000 0.5000
```

ΔE_f	-0.77	eV/atom

---

(2)
Computed, not measured: a geometry-optimized BaNaLa2Ru structure at the PBE level of DFT.

```
BaNaLa2Ru
1.0
5.4200 0.0000 0.0000
0.0000 5.4200 0.0000
0.0000 0.0000 6.3467
Na La Ru Ba
1 2 1 1
Direct
0.0000 0.0000 0.5000
0.5000 0.0000 0.0000
0.0000 0.5000 0.0000
0.0000 0.0000 0.0000
0.5000 0.5000 0.5000
```

ΔE_f	0.01	eV/atom

---

Which mass density belongs to each record? In order, 6.77 4.80 g cm⁻³.